Ba2MgCrP, relaxed, DFT PBE; theoretical density = 3.43 g/cm³; formation energy from the elements = -0.14 eV/atom
1.0
6.3791 0.0000 0.0000
0.0000 6.3791 0.0000
0.0000 0.0000 4.5454
Ba Mg Cr P
2 1 1 1
Direct
0.0000 0.5000 0.0000
0.5000 0.0000 0.0000
0.0000 0.0000 0.5000
0.5000 0.5000 0.5000
0.5000 0.5000 0.0000

---

BaMg2CrSn, relaxed, DFT PBE; theoretical density = 2.38 g/cm³; formation energy from the elements = 1.42 eV/atom
1.0
6.3512 0.0000 0.0000
0.0000 6.3512 0.0000
0.0000 0.0000 6.1750
Ba Mg Cr Sn
1 2 1 1
Direct
0.0000 0.0000 0.0000
0.0000 0.5000 0.0000
0.5000 0.0000 0.0000
0.5000 0.5000 0.5000
0.0000 0.0000 0.5000

---

Ba2MgTiCr, relaxed, DFT PBE; theoretical density = 4.01 g/cm³; formation energy from the elements = 1.35 eV/atom
1.0
5.5738 0.0000 0.0000
0.0000 5.5738 0.0000
0.0000 0.0000 5.3185
Ba Mg Ti Cr
2 1 1 1
Direct
0.0000 0.5000 0.0000
0.5000 0.0000 0.0000
0.0000 0.0000 0.5000
0.5000 0.5000 0.5000
0.0000 0.0000 0.0000

---

Ba2MnCr, relaxed, DFT PBE; theoretical density = 4.48 g/cm³; formation energy from the elements = 0.76 eV/atom
1.0
3.9158 0.0000 0.0000
0.0000 3.9158 0.0000
0.0000 0.0000 9.2216
Ba Mn Cr
2 1 1
Direct
0.0000 0.0000 0.0000
0.5000 0.5000 0.4001
0.5000 0.5000 0.7565
0.0000 0.0000 0.6481

---

BaMn2Cr2, relaxed, DFT PBE; theoretical density = 6.47 g/cm³; formation energy from the elements = 0.70 eV/atom
1.0
3.8807 0.0000 0.0000
0.0000 3.8807 0.0000
0.0000 0.0000 11.9728
Ba Mn Cr
2 4 4
Direct
0.0000 0.0000 0.0000
0.5000 0.5000 0.5000
0.0000 0.5000 0.2500
0.0000 0.5000 0.7500
0.5000 0.0000 0.2500
0.5000 0.0000 0.7500
0.0000 0.0000 0.3499
0.0000 0.0000 0.6501
0.5000 0.5000 0.1501
0.5000 0.5000 0.8499

---

Ba2MnCr, relaxed, DFT PBE; theoretical density = 4.53 g/cm³; formation energy from the elements = 0.77 eV/atom
1.0
8.2425 0.0000 0.0000
0.0000 8.2425 0.0000
0.0000 0.0000 8.2425
Ba Mn Cr
8 4 4
Direct
0.2500 0.2500 0.2500
0.2500 0.2500 0.7500
0.2500 0.7500 0.2500
0.2500 0.7500 0.7500
0.7500 0.2500 0.2500
0.7500 0.2500 0.7500
0.7500 0.7500 0.2500
0.7500 0.7500 0.7500
0.0000 0.0000 0.0000
0.0000 0.5000 0.5000
0.5000 0.0000 0.5000
0.5000 0.5000 0.0000
0.0000 0.0000 0.5000
0.0000 0.5000 0.0000
0.5000 0.0000 0.0000
0.5000 0.5000 0.5000

---

Ba2MnCr, relaxed, DFT PBE; theoretical density = 4.64 g/cm³; formation energy from the elements = 0.77 eV/atom
1.0
4.0242 0.0000 0.0000
0.0000 5.6905 0.0000
0.0000 0.0000 11.9231
Ba Mn Cr
4 2 2
Direct
0.0000 0.0000 0.0000
0.0000 0.5000 0.2074
0.5000 0.0000 0.7074
0.5000 0.5000 0.5000
0.0000 0.0000 0.4383
0.5000 0.5000 0.9383
0.0000 0.5000 0.7714
0.5000 0.0000 0.2714

---

Ba2MnCr, relaxed, DFT PBE; theoretical density = 4.54 g/cm³; formation energy from the elements = 0.77 eV/atom
1.0
8.2704 0.0000 0.0000
0.0000 8.2665 0.0000
-0.0065 0.0000 4.0832
Ba Mn Cr
4 2 2
Direct
0.2500 0.2500 0.0000
0.2500 0.7500 0.0000
0.7500 0.2500 0.0000
0.7500 0.7500 0.0000
0.0000 0.0000 0.5000
0.5000 0.5000 0.5000
0.0000 0.5000 0.5000
0.5000 0.0000 0.5000

---

Ba2MnCr, relaxed, DFT PBE; theoretical density = 4.18 g/cm³; formation energy from the elements = 0.73 eV/atom
1.0
4.9279 0.0000 0.0000
0.0000 4.7234 0.0000
0.0000 0.0000 13.0227
Ba Mn Cr
4 2 2
Direct
0.0000 0.0000 0.0000
0.0000 0.5000 0.5000
0.5000 0.0000 0.2855
0.5000 0.5000 0.7855
0.0000 0.0000 0.6996
0.0000 0.5000 0.1996
0.5000 0.0000 0.5824
0.5000 0.5000 0.0824

---

Ba2MnCr2, relaxed, DFT PBE; theoretical density = 6.10 g/cm³; formation energy from the elements = 1.30 eV/atom
1.0
3.2966 0.0000 0.0000
0.0000 3.2966 0.0000
0.0000 0.0000 21.7056
Ba Mn Cr
4 2 4
Direct
0.0000 0.0000 0.1040
0.0000 0.0000 0.8960
0.5000 0.5000 0.3960
0.5000 0.5000 0.6040
0.0000 0.0000 0.5000
0.5000 0.5000 0.0000
0.0000 0.5000 0.2500
0.0000 0.5000 0.7500
0.5000 0.0000 0.2500
0.5000 0.0000 0.7500

---

BaMn2Cr2, relaxed, DFT PBE; theoretical density = 7.14 g/cm³; formation energy from the elements = 0.88 eV/atom
1.0
7.5874 0.0000 0.0000
0.0000 7.5874 0.0000
0.0000 0.0000 2.8363
Ba Mn Cr
2 4 4
Direct
0.0000 0.0000 0.0000
0.5000 0.5000 0.0000
0.1247 0.3753 0.5000
0.3753 0.8753 0.5000
0.6247 0.1247 0.5000
0.8753 0.6247 0.5000
0.1264 0.6264 0.0000
0.3736 0.1264 0.0000
0.6264 0.8736 0.0000
0.8736 0.3736 0.0000

---

Ba2MnCr, relaxed, DFT PBE; theoretical density = 4.92 g/cm³; formation energy from the elements = 0.85 eV/atom
1.0
5.6777 0.0000 0.0000
0.0000 5.6777 0.0000
0.0000 0.0000 7.9932
Ba Mn Cr
4 2 2
Direct
0.0000 0.0000 0.0000
0.0000 0.5000 0.2500
0.5000 0.0000 0.7500
0.5000 0.5000 0.5000
0.0000 0.5000 0.7500
0.5000 0.0000 0.2500
0.0000 0.0000 0.5000
0.5000 0.5000 0.0000

---

BaMn4Cr, relaxed, DFT PBE; theoretical density = 5.49 g/cm³; formation energy from the elements = 0.95 eV/atom
1.0
0.0000 3.9554 3.9554
3.9554 0.0000 3.9554
3.9554 3.9554 0.0000
Ba Mn Cr
1 4 1
Direct
0.0000 0.0000 0.0000
0.3792 0.3792 0.3792
0.3792 0.3792 0.8625
0.3792 0.8625 0.3792
0.8625 0.3792 0.3792
0.7500 0.7500 0.7500

---

Ba2MnCr, relaxed, DFT PBE; theoretical density = 4.01 g/cm³; formation energy from the elements = 0.97 eV/atom
1.0
4.3603 0.0000 0.0000
-2.1801 3.7761 0.0000
0.0000 0.0000 28.7801
Ba Mn Cr
6 3 3
Direct
0.0000 0.0000 0.2471
0.0000 0.0000 0.7529
0.3333 0.6667 0.4195
0.3333 0.6667 0.9138
0.6667 0.3333 0.0862
0.6667 0.3333 0.5805
0.0000 0.0000 0.5000
0.3333 0.6667 0.1667
0.6667 0.3333 0.8333
0.0000 0.0000 0.0000
0.3333 0.6667 0.6667
0.6667 0.3333 0.3333